Record 1
First-principles (GGA-PBE) data for a relaxed Sc3AgRh crystal, as listed in the Alexandria database.

Output
Relative energy among the computed polymorphs   0 meV/atom

POSCAR file:
```
Sc3AgRh
1.0
2.3671 -8.7697 0.0000
2.3671 8.7697 0.0000
0.0000 0.0000 4.7397
Sc Ag Rh
6 2 2
direct
0.0637 0.9363 0.7500
0.2499 0.7501 0.7500
0.4364 0.5636 0.7500
0.5636 0.4364 0.2500
0.7501 0.2499 0.2500
0.9363 0.0637 0.2500
0.1557 0.8443 0.2500
0.8443 0.1557 0.7500
0.3421 0.6579 0.2500
0.6579 0.3421 0.7500
```

***

Record 2
First-principles (GGA-PBE) data for a relaxed ThTlHgPb crystal, as listed in the Alexandria database.

Output
Relative energy among the computed polymorphs   0 meV/atom

POSCAR file:
```
ThTlHgPb
1.0
4.7071 0.0000 0.0000
0.0000 4.7725 0.0000
0.0000 0.0000 4.9314
Th Tl Hg Pb
1 1 1 1
direct
0.0000 0.0000 0.0000
0.5000 0.0000 0.5000
0.0000 0.5000 0.5000
0.5000 0.5000 0.0000
```

***

Record 3
First-principles (GGA-PBE) data for a relaxed MnOsPb2 crystal, as listed in the Alexandria database.

Output
Relative energy among the computed polymorphs   197 meV/atom

POSCAR file:
```
MnOsPb2
1.0
4.1088 0.0000 0.0000
0.0000 4.0234 0.0000
-2.0474 0.0000 5.0962
Mn Os Pb
1 1 2
direct
0.0000 0.0000 0.0000
0.8705 0.5000 0.7402
0.2852 0.0000 0.5689
0.5804 0.5000 0.1608
```

***

Record 4
First-principles (GGA-PBE) data for a relaxed Rb2CoHI6 crystal, as listed in the Alexandria database.

Output
VASP energy   -2.56 eV per atom

POSCAR file:
```
Rb2CoHI6
1.0
-3.7332 3.7332 6.2878
3.7332 -3.7332 6.2878
3.7332 3.7332 -6.2878
Rb Co H I
2 1 1 6
direct
0.2500 0.7500 0.5000
0.7500 0.2500 0.5000
0.0000 0.0000 0.0000
0.5000 0.5000 0.0000
0.2084 0.2084 0.0000
0.2552 0.2552 0.5104
0.2552 0.7448 0.0000
0.7448 0.2552 0.0000
0.7448 0.7448 0.4896
0.7916 0.7916 0.0000
```

***

Record 5
First-principles (GGA-PBE) data for a relaxed TaBe3H crystal, as listed in the Alexandria database.

Output
Relative energy among the computed polymorphs   0 meV/atom

POSCAR file:
```
TaBe3H
1.0
3.5632 0.0000 0.0000
0.0000 3.5632 0.0000
0.0000 0.0000 3.5632
Ta Be H
1 3 1
direct
0.0000 0.0000 0.0000
0.0000 0.5000 0.5000
0.5000 0.0000 0.5000
0.5000 0.5000 0.0000
0.5000 0.5000 0.5000
```

***

Record 6
First-principles (GGA-PBE) data for a relaxed Rb3Pa3FeSe8 crystal, as listed in the Alexandria database.

Output
Uncorrected formation energy   -17.15 eV/f.u.

POSCAR file:
```
Rb3Pa3FeSe8
1.0
4.1133 2.3748 8.2545
-4.1133 2.3748 8.2545
0.0000 -4.7496 8.2545
Rb Pa Fe Se
3 3 1 8
direct
0.0000 0.5000 0.5000
0.5000 0.0000 0.5000
0.5000 0.5000 0.0000
0.0000 0.0000 0.5000
0.0000 0.5000 0.0000
0.5000 0.0000 0.0000
0.5000 0.5000 0.5000
0.2340 0.2340 0.2340
0.2383 0.7244 0.7244
0.2756 0.2756 0.7617
0.2756 0.7617 0.2756
0.7244 0.2383 0.7244
0.7244 0.7244 0.2383
0.7617 0.2756 0.2756
0.7660 0.7660 0.7660
```

***

Record 7
First-principles (GGA-PBE) data for a relaxed Na3Tl4Hg2 crystal, as listed in the Alexandria database.

Output
Relative energy among the computed polymorphs   5 meV/atom

POSCAR file:
```
Na3Tl4Hg2
1.0
5.7577 -2.7048 0.0000
5.7577 2.7048 0.0000
-4.9915 0.0000 8.1552
Na Tl Hg
3 4 2
direct
0.0000 0.0000 0.0000
0.3328 0.3328 0.3354
0.6672 0.6672 0.6646
0.0618 0.0618 0.3887
0.2854 0.2854 0.9479
0.7146 0.7146 0.0521
0.9382 0.9382 0.6113
0.3928 0.3928 0.7191
0.6072 0.6072 0.2809
```

***

Record 8
First-principles (GGA-PBE) data for a relaxed TaMnAu2 crystal, as listed in the Alexandria database.

Output
VASP energy   -6.79 eV per atom

POSCAR file:
```
TaMnAu2
1.0
-1.4810 2.4150 4.7774
1.4810 -2.4150 4.7774
1.4810 2.4150 -4.7774
Ta Mn Au
1 1 2
direct
0.0000 0.0000 0.0000
0.7651 0.2651 0.5000
0.2622 0.7622 0.5000
0.5265 0.5265 0.0000
```

***

Record 9
First-principles (GGA-PBE) data for a relaxed Dy3As2C crystal, as listed in the Alexandria database.

Output
VASP energy   -6.13 eV per atom

POSCAR file:
```
Dy3As2C
1.0
5.2010 -4.0071 0.0000
5.2010 4.0071 0.0000
0.0000 0.0000 6.4966
Dy As C
6 4 2
direct
0.1398 0.8602 0.7500
0.3402 0.3402 0.0000
0.3402 0.3402 0.5000
0.6598 0.6598 0.0000
0.6598 0.6598 0.5000
0.8602 0.1398 0.2500
0.0378 0.6717 0.2500
0.3283 0.9622 0.2500
0.6717 0.0378 0.7500
0.9622 0.3283 0.7500
0.4200 0.5800 0.7500
0.5800 0.4200 0.2500
```

***

Record 10
First-principles (GGA-PBE) data for a relaxed Ho3Th2In3 crystal, as listed in the Alexandria database.

Output
VASP energy   -4.87 eV per atom

POSCAR file:
```
Ho3Th2In3
1.0
-1.8130 2.7517 11.4109
1.8130 -2.7517 11.4109
1.8130 2.7517 -11.4109
Ho Th In
3 2 3
direct
0.0000 0.0000 0.0000
0.3806 0.8806 0.5000
0.6194 0.1194 0.5000
0.2408 0.2408 0.0000
0.7592 0.7592 0.0000
0.1184 0.6184 0.5000
0.5000 0.5000 0.0000
0.8816 0.3816 0.5000
```

***

Record 11
First-principles (GGA-PBE) data for a relaxed TaTi6Pd8 crystal, as listed in the Alexandria database.

Output
VASP energy   -6.97 eV per atom

POSCAR file:
```
TaTi6Pd8
1.0
10.0707 0.0000 0.0000
-5.0353 8.7214 0.0000
0.0000 0.0000 2.8537
Ta Ti Pd
1 6 8
direct
0.0000 0.0000 0.0000
0.0977 0.6302 0.7694
0.3698 0.4676 0.7694
0.4676 0.0977 0.2306
0.5324 0.9023 0.7694
0.6302 0.5324 0.2306
0.9023 0.3698 0.2306
0.0785 0.2886 0.7000
0.2102 0.9215 0.7000
0.2886 0.2102 0.3000
0.3333 0.6667 0.2710
0.6667 0.3333 0.7290
0.7114 0.7898 0.7000
0.7898 0.0785 0.3000
0.9215 0.7114 0.3000
```

***

Record 12
First-principles (GGA-PBE) data for a relaxed LaOs4O12 crystal, as listed in the Alexandria database.

Output
Uncorrected formation energy   -21.68 eV/f.u.

POSCAR file:
```
LaOs4O12
1.0
-3.8473 3.8473 3.8473
3.8473 -3.8473 3.8473
3.8473 3.8473 -3.8473
La Os O
1 4 12
direct
0.0000 0.0000 0.0000
0.0000 0.0000 0.5000
0.0000 0.5000 0.0000
0.5000 0.0000 0.0000
0.5000 0.5000 0.5000
0.0028 0.7582 0.2445
0.2418 0.2445 0.4863
0.2418 0.7555 0.9972
0.2445 0.0028 0.7582
0.2445 0.4863 0.2418
0.4863 0.2418 0.2445
0.5137 0.7582 0.7555
0.7555 0.5137 0.7582
0.7555 0.9972 0.2418
0.7582 0.2445 0.0028
0.7582 0.7555 0.5137
0.9972 0.2418 0.7555
```

***

Record 13
First-principles (GGA-PBE) data for a relaxed InReRh4 crystal, as listed in the Alexandria database.

Output
VASP energy   -7.08 eV per atom

POSCAR file:
```
InReRh4
1.0
0.0000 3.6205 3.6205
3.6205 0.0000 3.6205
3.6205 3.6205 0.0000
In Re Rh
1 1 4
direct
0.0000 0.0000 0.0000
0.2500 0.2500 0.2500
0.1253 0.6249 0.6249
0.6249 0.1253 0.6249
0.6249 0.6249 0.1253
0.6249 0.6249 0.6249
```

***

Record 14
First-principles (GGA-PBE) data for a relaxed MgZrZnNi crystal, as listed in the Alexandria database.

Output
VASP energy   -4.59 eV per atom

POSCAR file:
```
MgZrZnNi
1.0
0.0000 3.2057 3.2057
3.2057 0.0000 3.2057
3.2057 3.2057 0.0000
Mg Zr Zn Ni
1 1 1 1
direct
0.0000 0.0000 0.0000
0.5000 0.5000 0.5000
0.7500 0.7500 0.7500
0.2500 0.2500 0.2500
```

***

Record 15
First-principles (GGA-PBE) data for a relaxed NaYHf crystal, as listed in the Alexandria database.

Output
Relative energy among the computed polymorphs   1902 meV/atom

POSCAR file:
```
NaYHf
1.0
4.9709 0.0000 0.0000
-2.4854 4.3049 0.0000
0.0000 0.0000 11.0171
Na Y Hf
2 2 2
direct
0.3333 0.6667 0.2500
0.6667 0.3333 0.7500
0.0000 0.0000 0.2500
0.0000 0.0000 0.7500
0.0000 0.0000 0.0000
0.0000 0.0000 0.5000
```

***

Record 16
First-principles (GGA-PBE) data for a relaxed W5C crystal, as listed in the Alexandria database.

Output
Relative energy among the computed polymorphs   1084 meV/atom

POSCAR file:
```
W5C
1.0
0.0000 3.6842 3.6842
3.6842 0.0000 3.6842
3.6842 3.6842 0.0000
W C
5 1
direct
0.0000 0.0000 0.0000
0.3754 0.3754 0.3754
0.3754 0.3754 0.8739
0.3754 0.8739 0.3754
0.8739 0.3754 0.3754
0.7500 0.7500 0.7500
```

***

Record 17
First-principles (GGA-PBE) data for a relaxed AlZnPdRh crystal, as listed in the Alexandria database.

Output
VASP energy   -5.18 eV per atom

POSCAR file:
```
AlZnPdRh
1.0
2.9979 0.0000 0.0000
0.0000 2.9979 0.0000
0.0000 0.0000 6.2469
Al Zn Pd Rh
1 1 1 1
direct
0.0000 0.0000 0.0000
0.0000 0.0000 0.4822
0.5000 0.5000 0.7461
0.5000 0.5000 0.2282
```

***

Record 18
First-principles (GGA-PBE) data for a relaxed Dy2AgIr crystal, as listed in the Alexandria database.

Output
Relative energy among the computed polymorphs   14 meV/atom

POSCAR file:
```
Dy2AgIr
1.0
3.4870 0.0000 0.0000
0.0000 3.4870 0.0000
0.0000 0.0000 7.3215
Dy Ag Ir
2 1 1
direct
0.0000 0.0000 0.2242
0.0000 0.0000 0.7758
0.5000 0.5000 0.5000
0.5000 0.5000 0.0000
```

***

Quick rundown of total moment, same order as above: 0.2407; 0.0000; 0.7027; 0.1353; 0.0000; 0.4404; 0.0000; 0.7339; 0.0000; 0.0000; 0.0061; 0.0000; 0.0036; 0.0000; 0.0000; 0.0000; 0.0000; 0.0000 μB per atom